Record 1
CuAg2S8 after structural relaxation. Source: Alexandria via LeMat-Bulk, functional PBE.

Geometry as CIF:
```
data_CuAg2S8
_cell_length_a 19.521
_cell_length_b 6.457
_cell_length_c 4.060
_cell_angle_alpha 90.00
_cell_angle_beta 92.48
_cell_angle_gamma 90.00
_space_group_name_H-M_alt 'C 1 2/m 1'
_space_group_IT_number 12
_space_group_name_Hall '-C 2y'
loop_
_atom_site_label
_atom_site_type_symbol
_atom_site_fract_x
_atom_site_fract_y
_atom_site_fract_z
Cu1 Cu 0.000 0.000 0.000
Ag1 Ag 0.160 0.500 0.706
S1 S 0.023 0.500 0.723
S2 S 0.103 0.000 0.260
S3 S 0.165 0.254 0.212
```

***

Record 2
# PBE Pm2ErGa3Au4, relaxed
data_Pm2ErGa3Au4
_cell_length_a 4.384
_cell_length_b 4.384
_cell_length_c 11.564
_cell_angle_alpha 90.00
_cell_angle_beta 90.00
_cell_angle_gamma 90.00
_space_group_name_H-M_alt 'P -4 m 2'
_space_group_IT_number 115
_space_group_name_Hall 'P -4 -2'
loop_
_atom_site_label
_atom_site_type_symbol
_atom_site_fract_x
_atom_site_fract_y
_atom_site_fract_z
Pm1 Pm 0.000 0.500 0.217
Er1 Er 0.000 0.000 0.500
Ga1 Ga 0.000 0.500 0.873
Ga2 Ga 0.500 0.500 0.500
Au1 Au 0.000 0.000 0.000
Au2 Au 0.000 0.500 0.655
Au3 Au 0.500 0.500 0.000
# DFT formation energy	-6.6	eV/f.u.

***

Record 3
# PBE Pr3GeCl2, relaxed
data_Pr3GeCl2
_cell_length_a 7.276
_cell_length_b 12.702
_cell_length_c 7.429
_cell_angle_alpha 90.00
_cell_angle_beta 109.39
_cell_angle_gamma 90.00
_space_group_name_H-M_alt 'C 1 2/m 1'
_space_group_IT_number 12
_space_group_name_Hall '-C 2y'
loop_
_atom_site_label
_atom_site_type_symbol
_atom_site_fract_x
_atom_site_fract_y
_atom_site_fract_z
Pr1 Pr 0.240 0.165 0.226
Pr2 Pr 0.248 0.500 0.234
Ge1 Ge 0.000 0.335 0.000
Cl1 Cl 0.000 0.000 0.000
Cl2 Cl 0.000 0.182 0.500
Cl3 Cl 0.000 0.500 0.500
# energy above the most stable polymorph in this dataset	0	meV per atom

***

Record 4
# PBE CsTaMn2Zn, relaxed
data_CsTaMn2Zn
_cell_length_a 4.849
_cell_length_b 4.849
_cell_length_c 5.271
_cell_angle_alpha 90.00
_cell_angle_beta 90.00
_cell_angle_gamma 90.00
_space_group_name_H-M_alt 'P 4/m m m'
_space_group_IT_number 123
_space_group_name_Hall '-P 4 2'
loop_
_atom_site_label
_atom_site_type_symbol
_atom_site_fract_x
_atom_site_fract_y
_atom_site_fract_z
Cs1 Cs 0.000 0.000 0.000
Ta1 Ta 0.500 0.500 0.500
Mn1 Mn 0.000 0.500 0.000
Zn1 Zn 0.000 0.000 0.500
# DFT formation energy	13.2	eV/f.u.

***

Record 5
Ho2Sc4Ge3O2 after structural relaxation. Source: Alexandria via LeMat-Bulk, functional PBE.

Geometry as CIF:
```
data_Ho2Sc4Ge3O2
_cell_length_a 4.268
_cell_length_b 4.268
_cell_length_c 22.923
_cell_angle_alpha 90.00
_cell_angle_beta 90.00
_cell_angle_gamma 90.00
_space_group_name_H-M_alt 'I 4/m m m'
_space_group_IT_number 139
_space_group_name_Hall '-I 4 2'
loop_
_atom_site_label
_atom_site_type_symbol
_atom_site_fract_x
_atom_site_fract_y
_atom_site_fract_z
Ho1 Ho 0.000 0.000 0.195
Sc1 Sc 0.000 0.500 0.079
Ge1 Ge 0.000 0.000 0.327
Ge2 Ge 0.000 0.000 0.500
O1 O 0.000 0.000 0.091
```

***

Record 6
# PBE Sr3GaS, relaxed
data_Sr3GaS
_cell_length_a 5.715
_cell_length_b 5.715
_cell_length_c 5.715
_cell_angle_alpha 90.00
_cell_angle_beta 90.00
_cell_angle_gamma 90.00
_space_group_name_H-M_alt 'P m -3 m'
_space_group_IT_number 221
_space_group_name_Hall '-P 4 2 3'
loop_
_atom_site_label
_atom_site_type_symbol
_atom_site_fract_x
_atom_site_fract_y
_atom_site_fract_z
Sr1 Sr 0.000 0.000 0.500
Ga1 Ga 0.500 0.500 0.500
S1 S 0.000 0.000 0.000
# energy above the most stable polymorph in this dataset	0	meV per atom

***

Record 7
# PBE LiSmTcGe2, relaxed
data_LiSmTcGe2
_cell_length_a 4.113
_cell_length_b 4.113
_cell_length_c 10.988
_cell_angle_alpha 90.00
_cell_angle_beta 90.00
_cell_angle_gamma 90.00
_space_group_name_H-M_alt 'I -4 m 2'
_space_group_IT_number 119
_space_group_name_Hall 'I -4 -2'
loop_
_atom_site_label
_atom_site_type_symbol
_atom_site_fract_x
_atom_site_fract_y
_atom_site_fract_z
Li1 Li 0.000 0.000 0.000
Sm1 Sm 0.000 0.500 0.250
Tc1 Tc 0.000 0.000 0.500
Ge1 Ge 0.000 0.500 0.630
# DFT formation energy	-2.1	eV/f.u.

***

Record 8
# PBE GdDy4Tm, relaxed
data_GdDy4Tm
_cell_length_a 9.264
_cell_length_b 9.264
_cell_length_c 9.264
_cell_angle_alpha 90.00
_cell_angle_beta 90.00
_cell_angle_gamma 90.00
_space_group_name_H-M_alt 'F -4 3 m'
_space_group_IT_number 216
_space_group_name_Hall 'F -4 2 3'
loop_
_atom_site_label
_atom_site_type_symbol
_atom_site_fract_x
_atom_site_fract_y
_atom_site_fract_z
Gd1 Gd 0.000 0.000 0.000
Dy1 Dy 0.124 0.124 0.376
Tm1 Tm 0.250 0.250 0.750
# DFT formation energy	1.5	eV/f.u.

***

Record 9
# PBE RbOs3I, relaxed
data_RbOs3I
_cell_length_a 5.017
_cell_length_b 5.017
_cell_length_c 5.017
_cell_angle_alpha 90.00
_cell_angle_beta 90.00
_cell_angle_gamma 90.00
_space_group_name_H-M_alt 'P m -3 m'
_space_group_IT_number 221
_space_group_name_Hall '-P 4 2 3'
loop_
_atom_site_label
_atom_site_type_symbol
_atom_site_fract_x
_atom_site_fract_y
_atom_site_fract_z
Rb1 Rb 0.000 0.000 0.000
Os1 Os 0.000 0.500 0.500
I1 I 0.500 0.500 0.500
# energy above the most stable polymorph in this dataset	0	meV per atom

***

Record 10
Rb2NpBr6 after structural relaxation. Source: Alexandria via LeMat-Bulk, functional PBE.

Geometry as CIF:
```
data_Rb2NpBr6
_cell_length_a 7.861
_cell_length_b 8.600
_cell_length_c 13.328
_cell_angle_alpha 90.00
_cell_angle_beta 124.38
_cell_angle_gamma 90.00
_space_group_name_H-M_alt 'P 1 21/c 1'
_space_group_IT_number 14
_space_group_name_Hall '-P 2ybc'
loop_
_atom_site_label
_atom_site_type_symbol
_atom_site_fract_x
_atom_site_fract_y
_atom_site_fract_z
Rb1 Rb 0.228 0.079 0.253
Np1 Np 0.500 0.000 0.000
Br1 Br 0.167 0.173 0.960
Br2 Br 0.284 0.724 0.960
Br3 Br 0.336 0.019 0.754
```

***

Record 11
# PBE La3HoHg12, relaxed
data_La3HoHg12
_cell_length_a 4.744
_cell_length_b 4.744
_cell_length_c 18.884
_cell_angle_alpha 90.00
_cell_angle_beta 90.00
_cell_angle_gamma 90.00
_space_group_name_H-M_alt 'P 4/m m m'
_space_group_IT_number 123
_space_group_name_Hall '-P 4 2'
loop_
_atom_site_label
_atom_site_type_symbol
_atom_site_fract_x
_atom_site_fract_y
_atom_site_fract_z
La1 La 0.000 0.000 0.000
La2 La 0.000 0.000 0.258
Ho1 Ho 0.000 0.000 0.500
Hg1 Hg 0.000 0.500 0.128
Hg2 Hg 0.000 0.500 0.383
Hg3 Hg 0.500 0.500 0.000
Hg4 Hg 0.500 0.500 0.260
Hg5 Hg 0.500 0.500 0.500
# DFT formation energy	-5.6	eV/f.u.

***

Record 12
# PBE Tm2HgAu3, relaxed
data_Tm2HgAu3
_cell_length_a 4.750
_cell_length_b 3.760
_cell_length_c 7.779
_cell_angle_alpha 90.00
_cell_angle_beta 107.63
_cell_angle_gamma 90.00
_space_group_name_H-M_alt 'P 1 2/m 1'
_space_group_IT_number 10
_space_group_name_Hall '-P 2y'
loop_
_atom_site_label
_atom_site_type_symbol
_atom_site_fract_x
_atom_site_fract_y
_atom_site_fract_z
Tm1 Tm 0.157 0.000 0.313
Hg1 Hg 0.500 0.000 0.000
Au1 Au 0.000 0.500 0.000
Au2 Au 0.313 0.500 0.626
# DFT formation energy	-3.9	eV/f.u.

***

Record 13
# PBE SmErTh14, relaxed
data_SmErTh14
_cell_length_a 11.591
_cell_length_b 7.174
_cell_length_c 12.432
_cell_angle_alpha 90.00
_cell_angle_beta 90.00
_cell_angle_gamma 90.00
_space_group_name_H-M_alt 'A m m 2'
_space_group_IT_number 38
_space_group_name_Hall 'A 2 -2'
loop_
_atom_site_label
_atom_site_type_symbol
_atom_site_fract_x
_atom_site_fract_y
_atom_site_fract_z
Sm1 Sm 0.000 0.000 0.000
Er1 Er 0.000 0.000 0.499
Th1 Th 0.000 0.249 0.246
Th2 Th 0.250 0.000 0.665
Th3 Th 0.251 0.249 0.415
Th4 Th 0.252 0.000 0.166
Th5 Th 0.500 0.000 0.333
Th6 Th 0.500 0.000 0.832
Th7 Th 0.500 0.250 0.082
# DFT formation energy	0.6	eV/f.u.

***

Record 14
# PBE K2CaMo, relaxed
data_K2CaMo
_cell_length_a 3.703
_cell_length_b 6.274
_cell_length_c 6.996
_cell_angle_alpha 90.00
_cell_angle_beta 90.00
_cell_angle_gamma 90.00
_space_group_name_H-M_alt 'P m m m'
_space_group_IT_number 47
_space_group_name_Hall '-P 2 2'
loop_
_atom_site_label
_atom_site_type_symbol
_atom_site_fract_x
_atom_site_fract_y
_atom_site_fract_z
K1 K 0.000 0.000 0.233
Ca1 Ca 0.500 0.500 0.500
Mo1 Mo 0.500 0.500 0.000
# DFT formation energy	4.8	eV/f.u.
# energy above the most stable polymorph in this dataset	249	meV per atom

***

Record 15
# PBE TaSbTe2Se, relaxed
data_TaSbTe2Se
_cell_length_a 5.276
_cell_length_b 5.276
_cell_length_c 5.475
_cell_angle_alpha 90.00
_cell_angle_beta 90.00
_cell_angle_gamma 90.00
_space_group_name_H-M_alt 'P 4/m m m'
_space_group_IT_number 123
_space_group_name_Hall '-P 4 2'
loop_
_atom_site_label
_atom_site_type_symbol
_atom_site_fract_x
_atom_site_fract_y
_atom_site_fract_z
Ta1 Ta 0.000 0.000 0.000
Sb1 Sb 0.000 0.000 0.500
Te1 Te 0.000 0.500 0.000
Se1 Se 0.500 0.500 0.500
# energy above the most stable polymorph in this dataset	0	meV per atom

***

Record 16
# PBE ScHgPb2, relaxed
data_ScHgPb2
_cell_length_a 3.730
_cell_length_b 5.542
_cell_length_c 10.932
_cell_angle_alpha 90.00
_cell_angle_beta 90.00
_cell_angle_gamma 90.00
_space_group_name_H-M_alt 'C m m m'
_space_group_IT_number 65
_space_group_name_Hall '-C 2 2'
loop_
_atom_site_label
_atom_site_type_symbol
_atom_site_fract_x
_atom_site_fract_y
_atom_site_fract_z
Sc1 Sc 0.000 0.000 0.000
Hg1 Hg 0.000 0.000 0.500
Pb1 Pb 0.000 0.500 0.234
# DFT formation energy	-0.1	eV/f.u.

***

Record 17
# PBE MnPbBr2, relaxed
data_MnPbBr2
_cell_length_a 3.379
_cell_length_b 3.379
_cell_length_c 9.499
_cell_angle_alpha 90.00
_cell_angle_beta 90.00
_cell_angle_gamma 90.00
_space_group_name_H-M_alt 'P 4/m m m'
_space_group_IT_number 123
_space_group_name_Hall '-P 4 2'
loop_
_atom_site_label
_atom_site_type_symbol
_atom_site_fract_x
_atom_site_fract_y
_atom_site_fract_z
Mn1 Mn 0.000 0.000 0.000
Pb1 Pb 0.000 0.000 0.500
Br1 Br 0.500 0.500 0.174
# energy above the most stable polymorph in this dataset	256	meV per atom

***

Record 18
# PBE Pm4NdP5, relaxed
data_Pm4NdP5
_cell_length_a 4.143
_cell_length_b 5.848
_cell_length_c 20.691
_cell_angle_alpha 90.00
_cell_angle_beta 90.00
_cell_angle_gamma 90.00
_space_group_name_H-M_alt 'I m m m'
_space_group_IT_number 71
_space_group_name_Hall '-I 2 2'
loop_
_atom_site_label
_atom_site_type_symbol
_atom_site_fract_x
_atom_site_fract_y
_atom_site_fract_z
Pm1 Pm 0.000 0.000 0.100
Pm2 Pm 0.000 0.000 0.300
Nd1 Nd 0.000 0.000 0.500
P1 P 0.000 0.500 0.101
P2 P 0.000 0.500 0.300
P3 P 0.000 0.500 0.500
# DFT formation energy	-15.6	eV/f.u.

***

Record 19
# PBE Ag2GeAu5, relaxed
data_Ag2GeAu5
_cell_length_a 5.662
_cell_length_b 11.408
_cell_length_c 4.485
_cell_angle_alpha 90.00
_cell_angle_beta 90.00
_cell_angle_gamma 90.00
_space_group_name_H-M_alt 'P b a m'
_space_group_IT_number 55
_space_group_name_Hall '-P 2 2ab'
loop_
_atom_site_label
_atom_site_type_symbol
_atom_site_fract_x
_atom_site_fract_y
_atom_site_fract_z
Ag1 Ag 0.174 0.142 0.000
Ge1 Ge 0.000 0.500 0.500
Au1 Au 0.000 0.000 0.500
Au2 Au 0.064 0.744 0.500
Au3 Au 0.181 0.395 0.000
# DFT formation energy	0.0	eV/f.u.
# energy above the most stable polymorph in this dataset	0	meV per atom

***

Record 20
# PBE Ti3Al4Pd, relaxed
data_Ti3Al4Pd
_cell_length_a 9.200
_cell_length_b 6.009
_cell_length_c 4.643
_cell_angle_alpha 90.00
_cell_angle_beta 90.00
_cell_angle_gamma 90.00
_space_group_name_H-M_alt 'P m n 21'
_space_group_IT_number 31
_space_group_name_Hall 'P 2ac -2'
loop_
_atom_site_label
_atom_site_type_symbol
_atom_site_fract_x
_atom_site_fract_y
_atom_site_fract_z
Ti1 Ti 0.000 0.118 0.000
Ti2 Ti 0.233 0.106 0.430
Al1 Al 0.000 0.386 0.517
Al2 Al 0.000 0.634 0.007
Al3 Al 0.244 0.375 0.920
Pd1 Pd 0.000 0.836 0.504
# DFT formation energy	-2.6	eV/f.u.
# energy above the most stable polymorph in this dataset	198	meV per atom

***

Record 21
# PBE Si2HgBr, relaxed
data_Si2HgBr
_cell_length_a 4.818
_cell_length_b 4.838
_cell_length_c 8.476
_cell_angle_alpha 90.00
_cell_angle_beta 90.00
_cell_angle_gamma 90.00
_space_group_name_H-M_alt 'A m m 2'
_space_group_IT_number 38
_space_group_name_Hall 'A 2 -2'
loop_
_atom_site_label
_atom_site_type_symbol
_atom_site_fract_x
_atom_site_fract_y
_atom_site_fract_z
Si1 Si 0.000 0.000 0.000
Si2 Si 0.500 0.000 0.057
Hg1 Hg 0.000 0.000 0.682
Br1 Br 0.500 0.000 0.334
# energy above the most stable polymorph in this dataset	176	meV per atom

***

Record 22
Nb3Te4O2 after structural relaxation. Source: Alexandria via LeMat-Bulk, functional PBE.

Geometry as CIF:
```
data_Nb3Te4O2
_cell_length_a 3.2611
_cell_length_b 3.2611
_cell_length_c 21.4039
_cell_angle_alpha 90.00
_cell_angle_beta 90.00
_cell_angle_gamma 120.00
_space_group_name_H-M_alt 'P 3 m 1'
_space_group_IT_number 156
_space_group_name_Hall 'P 3 -2"'
loop_
_atom_site_label
_atom_site_type_symbol
_atom_site_fract_x
_atom_site_fract_y
_atom_site_fract_z
Nb1 Nb 0.0000 0.0000 0.0000
Nb2 Nb 0.0000 0.0000 0.3210
Nb3 Nb 0.6667 0.3333 0.7007
Te1 Te 0.0000 0.0000 0.6026
Te2 Te 0.0000 0.0000 0.8003
Te3 Te 0.6667 0.3333 0.2215
Te4 Te 0.6667 0.3333 0.4191
O1 O 0.6667 0.3333 0.0540
O2 O 0.6667 0.3333 0.9453
```

***

Record 23
# PBE Ac2PmNdSm5, relaxed
data_Ac2PmNdSm5
_cell_length_a 5.868
_cell_length_b 20.526
_cell_length_c 11.043
_cell_angle_alpha 90.00
_cell_angle_beta 90.00
_cell_angle_gamma 90.00
_space_group_name_H-M_alt 'C m c 21'
_space_group_IT_number 36
_space_group_name_Hall 'C 2c -2'
loop_
_atom_site_label
_atom_site_type_symbol
_atom_site_fract_x
_atom_site_fract_y
_atom_site_fract_z
Ac1 Ac 0.000 0.112 0.000
Ac2 Ac 0.000 0.119 0.593
Pm1 Pm 0.000 0.209 0.277
Nd1 Nd 0.000 0.414 0.730
Sm1 Sm 0.000 0.020 0.296
Sm2 Sm 0.000 0.285 0.576
Sm3 Sm 0.000 0.297 0.972
Sm4 Sm 0.000 0.396 0.293
Sm5 Sm 0.000 0.479 0.010
# DFT formation energy	1.3	eV/f.u.

***

How do the records compare in VASP energy? In the order shown, they have -3.685 -4.290 -5.086 -3.822 -6.953 -3.230 -5.660 -5.913 -4.592 -4.302 -1.786 -3.830 -7.038 -2.563 -4.738 -3.528 -4.196 -6.641 -3.338 -5.807 -2.882 -6.639 -4.453 eV per atom.